Entry 1:
Density functional theory data (PBE-GGA) for a relaxed ScTaSi2 crystal.

POSCAR file:
```
ScTaSi2
1.0
6.0729 0.0091 0.0247
-2.5905 4.0790 -0.0169
0.8920 0.9842 2.6543
Sc Si Ta
1 2 1
direct
0.5000 0.5000 0.0000
0.0000 0.0000 0.0000
0.5000 0.0000 0.5000
0.0000 0.5000 0.5000
```

Computed properties:
**ΔE_f (raw)**: -0.324 eV/atom
**Volume**: 65.8 Å³ per cell
**Energy above the most stable polymorph in this dataset**: 330.4 meV/atom

=====

Entry 2:
Density functional theory data (PBE-GGA) for a relaxed ScTa2Si crystal.

POSCAR file:
```
ScTa2Si
1.0
-4.2830 -0.6294 2.7360
-4.0423 -0.7327 -3.0575
4.6115 -2.1559 0.5585
Sc Si Ta
1 1 2
direct
0.4936 0.4936 0.0000
0.2451 0.7451 0.5000
0.0104 0.0104 0.0000
0.7509 0.2509 0.5000
```

Computed properties:
**ΔE_f (raw)**: -0.079 eV/atom
**Volume**: 70.5 Å³ per cell

=====

Entry 3:
Density functional theory data (PBE-GGA) for a relaxed ScTa2Si crystal.

POSCAR file:
```
ScTa2Si
1.0
2.9335 0.0090 0.0000
-0.6850 2.8524 0.0000
0.0000 0.0000 8.6041
Sc Si Ta
1 1 2
direct
0.0000 0.0000 0.5174
0.5000 0.5000 0.7625
0.0000 0.0000 0.9792
0.5000 0.5000 0.2409
```

Computed properties:
**ΔE_f (raw)**: -0.132 eV/atom
**Volume**: 72.0 Å³ per cell

=====

Entry 4:
Density functional theory data (PBE-GGA) for a relaxed ScTa2Si crystal.

POSCAR file:
```
ScTa2Si
1.0
-1.2249 4.4009 -2.5188
-2.9441 4.3043 -0.1365
2.9087 3.4399 2.2385
Sc Si Ta
1 1 2
direct
0.7500 0.7500 0.7500
0.2500 0.2500 0.2500
0.9821 0.9821 0.0207
0.5179 0.5179 0.4793
```

Computed properties:
**ΔE_f (raw)**: -0.096 eV/atom
**Volume**: 71.9 Å³ per cell

=====

Entry 5:
Density functional theory data (PBE-GGA) for a relaxed ScTa2Si crystal.

POSCAR file:
```
ScTa2Si
1.0
-7.2460 2.2596 1.0956
-2.1156 -3.6904 -6.3809
-5.1470 -2.8972 -1.2263
Sc Si Ta
2 2 4
direct
0.0000 0.0000 0.0000
0.7500 0.2500 0.5000
0.5000 0.5000 0.0000
0.2500 0.7500 0.5000
0.5749 0.1250 0.2500
0.1751 0.6250 0.2500
0.3750 0.4251 0.7500
0.8750 0.8249 0.7500
```

Computed properties:
**ΔE_f (raw)**: 0.251 eV/atom
**Volume**: 155.4 Å³ per cell

=====

Entry 6:
Density functional theory data (PBE-GGA) for a relaxed ScTaSi2 crystal.

POSCAR file:
```
ScTaSi2
1.0
8.8680 -0.0289 -0.0170
8.3532 2.9778 -0.0170
8.3532 1.4304 2.6119
Sc Si Ta
1 2 1
direct
0.7463 0.7463 0.7463
0.9918 0.9918 0.9918
0.2547 0.2547 0.2547
0.5072 0.5072 0.5072
```

Computed properties:
**ΔE_f (raw)**: 0.071 eV/atom
**Volume**: 70.0 Å³ per cell
**Energy above the most stable polymorph in this dataset**: 725.2 meV/atom

=====

Entry 7:
Density functional theory data (PBE-GGA) for a relaxed ScTa2Si crystal.

POSCAR file:
```
ScTa2Si
1.0
4.7596 0.0000 0.0000
0.0000 2.9664 0.0036
0.0000 0.7001 5.1368
Sc Si Ta
1 1 2
direct
0.5000 0.2500 0.2500
0.5000 0.7500 0.7500
0.0000 0.9149 0.9968
0.0000 0.5851 0.5032
```

Computed properties:
**ΔE_f (raw)**: -0.044 eV/atom
**Volume**: 72.5 Å³ per cell

=====

Entry 8:
Density functional theory data (PBE-GGA) for a relaxed Sc2TaSi crystal.

POSCAR file:
```
Sc2TaSi
1.0
-3.0968 -1.5267 -4.0830
2.5077 -2.5852 -3.9523
-0.2075 -0.4287 5.3259
Sc Si Ta
2 1 1
direct
0.0000 0.0000 0.0000
0.5000 0.5000 0.0000
0.7500 0.2500 0.5000
0.2500 0.7500 0.5000
```

Computed properties:
**ΔE_f (raw)**: -0.163 eV/atom
**Volume**: 73.6 Å³ per cell